This record from the Alexandria database describes crystalline TiIn2Hg at its relaxed geometry. The functional is PBE-GGA.

Cell: 3.2237 3.2237 10.9511 Å, 81.54 81.54 60.00°
Last column: nearest neighbours and their distance in Å.
Fractional coordinates of all 4 atoms:
In: 0.9135 0.9135 0.2594  1 Ti 2.80
Ti: 0.0000 0.0000 0.0000  2 In 2.80
Hg: 0.5000 0.5000 0.5000  6 In 3.20, 6 Hg 3.22
In: 0.0865 0.0865 0.7406  1 Ti 2.80

V, Å³/atom: 24.28
Electronic total energy, eV/atom: -3.063
Space group: R-3m, No. 166
Total moment, Bohr magnetons per cell: 0.000


This record from the Alexandria database describes crystalline TiIn2Hg at its relaxed geometry. The functional is PBE-GGA.

Cell: 4.2769 4.4205 4.4205 Å, 90.00 90.00 90.00°
Last column: nearest neighbours and their distance in Å.
Fractional coordinates of all 4 atoms:
Hg: 0.5000 0.5000 0.5000  8 In 3.08, 4 Ti 3.13
In: 0.0000 0.0000 0.5000  4 Hg 3.08, 4 Ti 3.08, 4 In 3.13
Ti: 0.5000 0.0000 0.0000  8 In 3.08, 4 Hg 3.13
In: 0.0000 0.5000 0.0000  4 Hg 3.08, 4 Ti 3.08, 4 In 3.13

V, Å³/atom: 20.89
Electronic total energy, eV/atom: -3.434
Space group: P4/mmm, No. 123
Total moment, Bohr magnetons per cell: 0.000


This record from the Alexandria database describes crystalline Ti2In2Hg at its relaxed geometry. The functional is PBE-GGA.

Cell: 7.9752 7.9752 3.3633 Å, 90.00 90.00 90.00°
Last column: nearest neighbours and their distance in Å.
Fractional coordinates of all 10 atoms:
In: 0.8171 0.3171 0.5000  6 Ti 2.83-2.96
In: 0.3171 0.1829 0.5000  6 Ti 2.83-2.96
Ti: 0.6150 0.1150 0.0000  1 Ti 2.60, 2 In 2.83
Ti: 0.3850 0.8850 0.0000  1 Ti 2.60, 2 In 2.83
In: 0.6829 0.8171 0.5000  6 Ti 2.83-2.96
In: 0.1829 0.6829 0.5000  6 Ti 2.83-2.96
Hg: 0.0000 0.0000 0.0000  4 Ti 3.20, 2 Hg 3.36, 8 In 3.37
Ti: 0.1150 0.3850 0.0000  1 Ti 2.60, 2 In 2.83
Hg: 0.5000 0.5000 0.0000  4 Ti 3.20, 2 Hg 3.36, 8 In 3.37
Ti: 0.8850 0.6150 0.0000  1 Ti 2.60, 2 In 2.83

V, Å³/atom: 21.39
Electronic total energy, eV/atom: -4.244
Polymorph energy (0 for the lowest one), eV per atom: 0.0000
Space group: P4/mbm, No. 127
Total moment, Bohr magnetons per cell: 2.057


This record from the Alexandria database describes crystalline Ti4In2Hg at its relaxed geometry. The functional is PBE-GGA.

Cell: 4.8720 4.8720 8.0670 Å, 107.58 107.58 90.00°
Last column: nearest neighbours and their distance in Å.
Fractional coordinates of all 7 atoms:
Ti: 0.0000 0.5000 0.0000  2 Hg 2.44
Hg: 0.0000 0.0000 0.0000  6 Ti 2.44-2.66
Ti: 0.1826 0.1826 0.3652  1 Hg 2.66, 1 In 2.79
In: 0.3739 0.3739 0.7478  5 Ti 2.79-3.05
Ti: 0.8174 0.8174 0.6348  1 Hg 2.66, 1 In 2.79
In: 0.6261 0.6261 0.2522  5 Ti 2.79-3.05
Ti: 0.5000 0.0000 0.0000  2 Hg 2.44

V, Å³/atom: 24.73
Electronic total energy, eV/atom: -4.550
Space group: I4/mmm, No. 139
Total moment, Bohr magnetons per cell: 1.439


This record from the Alexandria database describes crystalline Ti3InHg2 at its relaxed geometry. The functional is PBE-GGA.

Cell: 3.5222 3.5222 9.2223 Å, 90.00 90.00 90.00°
Last column: nearest neighbours and their distance in Å.
Fractional coordinates of all 6 atoms:
Ti: 0.0000 0.0000 0.6678  4 Hg 2.92, 4 In 2.93, 2 Ti 3.06-3.09
Hg: 0.5000 0.5000 0.1670  8 Ti 2.92-2.93, 1 In 3.07, 1 Hg 3.08
In: 0.5000 0.5000 0.5000  8 Ti 2.93, 2 Hg 3.07
Hg: 0.5000 0.5000 0.8330  8 Ti 2.92-2.93, 1 In 3.07, 1 Hg 3.08
Ti: 0.0000 0.0000 0.0000  8 Hg 2.93, 2 Ti 3.06
Ti: 0.0000 0.0000 0.3322  4 Hg 2.92, 4 In 2.93, 2 Ti 3.06-3.09

V, Å³/atom: 19.07
Electronic total energy, eV/atom: -4.497
Space group: P4/mmm, No. 123
Total moment, Bohr magnetons per cell: 0.151


This record from the Alexandria database describes crystalline Ti6InHg2 at its relaxed geometry. The functional is PBE-GGA.

Cell: 2.9165 8.3718 8.3718 Å, 57.89 79.97 79.97°
Last column: nearest neighbours and their distance in Å.
Fractional coordinates of all 9 atoms:
Hg: 0.6529 0.8471 0.8471  10 Ti 2.89-3.00, 2 Hg 2.92
Ti: 0.1724 0.5053 0.1499  6 Ti 2.76-2.92, 3 Hg 2.89-3.00
In: 0.5000 0.5000 0.5000  2 In 2.92, 12 Ti 3.03-3.21
Hg: 0.3471 0.1529 0.1529  10 Ti 2.89-3.00, 2 Hg 2.92
Ti: 0.0000 0.1719 0.8281  5 Ti 2.76-2.92, 4 Hg 2.98, 2 In 3.03
Ti: 0.8276 0.8501 0.4947  6 Ti 2.76-2.92, 3 Hg 2.89-3.00
Ti: 0.8276 0.4947 0.8501  6 Ti 2.76-2.92, 3 Hg 2.89-3.00
Ti: 0.0000 0.8281 0.1719  5 Ti 2.76-2.92, 4 Hg 2.98, 2 In 3.03
Ti: 0.1724 0.1499 0.5053  6 Ti 2.76-2.92, 3 Hg 2.89-3.00

V, Å³/atom: 18.85
Electronic total energy, eV/atom: -5.486
Space group: Immm, No. 71
Total moment, Bohr magnetons per cell: 6.383


This record from the Alexandria database describes crystalline TiInHg2 at its relaxed geometry. The functional is PBE-GGA.

Cell: 4.4053 4.3281 4.3281 Å, 90.00 90.00 90.00°
Last column: nearest neighbours and their distance in Å.
Fractional coordinates of all 4 atoms:
In: 0.5000 0.5000 0.5000  4 Ti 3.06, 8 Hg 3.09
Ti: 0.5000 0.0000 0.0000  4 In 3.06, 8 Hg 3.09
Hg: 0.0000 0.5000 0.0000  4 Hg 3.06, 4 In 3.09, 4 Ti 3.09
Hg: 0.0000 0.0000 0.5000  4 Hg 3.06, 4 In 3.09, 4 Ti 3.09

V, Å³/atom: 20.63
Electronic total energy, eV/atom: -2.793
Space group: P4/mmm, No. 123
Total moment, Bohr magnetons per cell: 0.000


This record from the Alexandria database describes crystalline TiIn2Hg at its relaxed geometry. The functional is PBE-GGA.

Cell: 3.1240 3.1240 9.1691 Å, 90.00 90.00 90.00°
Last column: nearest neighbours and their distance in Å.
Fractional coordinates of all 4 atoms:
Ti: 0.5000 0.5000 0.0000  8 In 2.96, 4 Ti 3.12
Hg: 0.5000 0.5000 0.5000  4 Hg 3.12, 8 In 3.43
In: 0.0000 0.0000 0.2143  4 Ti 2.96, 4 In 3.12
In: 0.0000 0.0000 0.7857  4 Ti 2.96, 4 In 3.12

V, Å³/atom: 22.37
Electronic total energy, eV/atom: -3.392
Space group: P4/mmm, No. 123
Total moment, Bohr magnetons per cell: 0.000


This record from the Alexandria database describes crystalline Ti2In2Hg at its relaxed geometry. The functional is PBE-GGA.

Cell: 7.6806 7.6806 3.4975 Å, 90.00 90.00 90.00°
Last column: nearest neighbours and their distance in Å.
Fractional coordinates of all 10 atoms:
Ti: 0.6735 0.8265 0.5000  6 In 2.77-2.93
Ti: 0.3265 0.1735 0.5000  6 In 2.77-2.93
Ti: 0.1735 0.6735 0.5000  6 In 2.77-2.93
Hg: 0.5000 0.5000 0.0000  4 In 3.02, 8 Ti 3.34
In: 0.1288 0.3712 0.0000  6 Ti 2.77-2.93, 1 In 2.80, 2 Hg 3.02
In: 0.3712 0.8712 0.0000  6 Ti 2.77-2.93, 1 In 2.80, 2 Hg 3.02
Hg: 0.0000 0.0000 0.0000  4 In 3.02, 8 Ti 3.34
In: 0.6288 0.1288 0.0000  6 Ti 2.77-2.93, 1 In 2.80, 2 Hg 3.02
Ti: 0.8265 0.3265 0.5000  6 In 2.77-2.93
In: 0.8712 0.6288 0.0000  6 Ti 2.77-2.93, 1 In 2.80, 2 Hg 3.02

V, Å³/atom: 20.63
Electronic total energy, eV/atom: -4.174
Polymorph energy (0 for the lowest one), eV per atom: 0.0702
Space group: P4/mbm, No. 127
Total moment, Bohr magnetons per cell: 0.000


This record from the Alexandria database describes crystalline TiInHg2 at its relaxed geometry. The functional is PBE-GGA.

Cell: 7.8459 7.8459 6.3157 Å, 51.60 51.60 90.00°
Last column: nearest neighbours and their distance in Å.
Fractional coordinates of all 8 atoms:
Ti: 0.2500 0.7500 0.5000  4 Hg 2.81, 2 In 3.02
Hg: 0.6126 0.1250 0.2500  2 Ti 2.81, 2 In 2.94, 2 Hg 3.02
Hg: 0.3750 0.3874 0.7500  2 Ti 2.81, 2 In 2.94, 2 Hg 3.02
In: 0.0000 0.0000 0.0000  4 Hg 2.94, 2 Ti 3.02
Hg: 0.8750 0.8626 0.7500  2 Ti 2.81, 2 In 2.94, 2 Hg 3.02
Hg: 0.1374 0.6250 0.2500  2 Ti 2.81, 2 In 2.94, 2 Hg 3.02
Ti: 0.5000 0.5000 0.0000  4 Hg 2.81, 2 In 3.02
In: 0.7500 0.2500 0.5000  4 Hg 2.94, 2 Ti 3.02

V, Å³/atom: 23.22
Electronic total energy, eV/atom: -2.597
Space group: I-42d, No. 122
Total moment, Bohr magnetons per cell: 1.955


This record from the Alexandria database describes crystalline TiIn2Hg at its relaxed geometry. The functional is PBE-GGA.

Cell: 7.8633 7.8633 6.3272 Å, 51.58 51.58 90.00°
Last column: nearest neighbours and their distance in Å.
Fractional coordinates of all 8 atoms:
Ti: 0.5000 0.5000 0.0000  4 In 2.90, 2 Hg 3.02
Ti: 0.2500 0.7500 0.5000  4 In 2.90, 2 Hg 3.02
In: 0.8750 0.8779 0.7500  2 Hg 2.87, 2 Ti 2.90, 2 In 3.02
In: 0.1221 0.6250 0.2500  2 Hg 2.87, 2 Ti 2.90, 2 In 3.02
Hg: 0.0000 0.0000 0.0000  4 In 2.87, 2 Ti 3.02
Hg: 0.7500 0.2500 0.5000  4 In 2.87, 2 Ti 3.02
In: 0.6279 0.1250 0.2500  2 Hg 2.87, 2 Ti 2.90, 2 In 3.02
In: 0.3750 0.3721 0.7500  2 Hg 2.87, 2 Ti 2.90, 2 In 3.02

V, Å³/atom: 23.34
Electronic total energy, eV/atom: -3.165
Space group: I-42d, No. 122
Total moment, Bohr magnetons per cell: 0.000


This record from the Alexandria database describes crystalline TiInHg2 at its relaxed geometry. The functional is PBE-GGA.

Cell: 4.5125 4.5125 5.9639 Å, 67.76 67.76 60.16°
Last column: nearest neighbours and their distance in Å.
Fractional coordinates of all 4 atoms:
Ti: 0.6781 0.6781 0.9652  6 Hg 2.75-2.92, 1 In 3.01
Hg: 0.2631 0.2631 0.2079  3 Ti 2.91-2.92, 3 In 3.11-3.12, 1 Hg 3.18
In: 0.4920 0.4920 0.5260  6 Hg 2.99-3.12, 1 Ti 3.01
Hg: 0.0668 0.0668 0.8009  3 Ti 2.75, 3 In 2.99-3.00

V, Å³/atom: 23.68
Electronic total energy, eV/atom: -2.630
Space group: Cm, No. 8
Total moment, Bohr magnetons per cell: 0.000


This record from the Alexandria database describes crystalline Ti5In2Hg at its relaxed geometry. The functional is PBE-GGA.

Cell: 4.1411 4.1411 9.1090 Å, 103.14 103.14 90.00°
Last column: nearest neighbours and their distance in Å.
Fractional coordinates of all 8 atoms:
Ti: 0.8794 0.3794 0.7587  6 Ti 2.93-2.94, 2 Hg 2.94, 4 In 3.04-3.05
Hg: 0.0000 0.0000 0.0000  12 Ti 2.93-2.94
In: 0.7498 0.7498 0.4995  4 In 2.93, 8 Ti 3.04-3.05
Ti: 0.1206 0.6206 0.2413  6 Ti 2.93-2.94, 2 Hg 2.94, 4 In 3.04-3.05
Ti: 0.3794 0.8794 0.7587  6 Ti 2.93-2.94, 2 Hg 2.94, 4 In 3.04-3.05
Ti: 0.5000 0.5000 0.0000  4 Hg 2.93, 8 Ti 2.94
In: 0.2502 0.2502 0.5005  4 In 2.93, 8 Ti 3.04-3.05
Ti: 0.6206 0.1206 0.2413  6 Ti 2.93-2.94, 2 Hg 2.94, 4 In 3.04-3.05

V, Å³/atom: 18.49
Electronic total energy, eV/atom: -5.735
Space group: I4/mmm, No. 139
Total moment, Bohr magnetons per cell: 0.000


This record from the Alexandria database describes crystalline TiInHg2 at its relaxed geometry. The functional is PBE-GGA.

Cell: 3.1722 3.1722 11.1295 Å, 81.81 81.81 60.00°
Last column: nearest neighbours and their distance in Å.
Fractional coordinates of all 4 atoms:
Hg: 0.9156 0.9156 0.2533  1 Ti 2.78
In: 0.5000 0.5000 0.5000  6 In 3.17, 6 Hg 3.27
Ti: 0.0000 0.0000 0.0000  2 Hg 2.78
Hg: 0.0844 0.0844 0.7467  1 Ti 2.78

V, Å³/atom: 23.92
Electronic total energy, eV/atom: -2.459
Space group: R-3m, No. 166
Total moment, Bohr magnetons per cell: 0.552


This record from the Alexandria database describes crystalline TiInHg2 at its relaxed geometry. The functional is PBE-GGA.

Cell: 3.1790 3.1790 8.5822 Å, 90.00 90.00 90.00°
Last column: nearest neighbours and their distance in Å.
Fractional coordinates of all 4 atoms:
Hg: 0.0000 0.0000 0.2228  4 Ti 2.95, 4 Hg 3.18, 4 In 3.27
Ti: 0.5000 0.5000 0.0000  8 Hg 2.95, 4 Ti 3.18
In: 0.5000 0.5000 0.5000  4 In 3.18, 8 Hg 3.27
Hg: 0.0000 0.0000 0.7772  4 Ti 2.95, 4 Hg 3.18, 4 In 3.27

V, Å³/atom: 21.68
Electronic total energy, eV/atom: -2.728
Space group: P4/mmm, No. 123
Total moment, Bohr magnetons per cell: 0.039


This record from the Alexandria database describes crystalline TiIn2Hg at its relaxed geometry. The functional is PBE-GGA.

Cell: 3.2333 3.2333 10.0080 Å, 80.70 80.70 60.00°
Last column: nearest neighbours and their distance in Å.
Fractional coordinates of all 4 atoms:
Hg: 0.5003 0.5003 0.4991  6 In 3.20-3.22, 6 Hg 3.23
In: 0.2552 0.2552 0.2343  3 Ti 2.96, 3 Hg 3.20, 6 In 3.23
Ti: 0.6665 0.6665 0.0006  6 In 2.96-2.97, 6 Ti 3.23
In: 0.0780 0.0780 0.7661  3 Ti 2.97, 3 Hg 3.22, 6 In 3.23

V, Å³/atom: 22.25
Electronic total energy, eV/atom: -3.336
Space group: R3m, No. 160
Total moment, Bohr magnetons per cell: 0.000


This record from the Alexandria database describes crystalline TiTlIn2Hg at its relaxed geometry. The functional is PBE-GGA.

Cell: 5.5686 5.4888 5.5686 Å, 90.00 90.00 90.00°
Last column: nearest neighbours and their distance in Å.
Fractional coordinates of all 5 atoms:
In: 0.5000 0.0000 0.0000  2 Tl 2.78
Hg: 0.0000 0.5000 0.0000  2 Tl 2.74
Tl: 0.0000 0.0000 0.0000  2 Hg 2.74, 4 In 2.78
Ti: 0.5000 0.5000 0.5000  8 In 3.91, 4 Hg 3.94
In: 0.0000 0.0000 0.5000  2 Tl 2.78

V, Å³/atom: 34.04
Electronic total energy, eV/atom: -2.129
Space group: P4/mmm, No. 123
Total moment, Bohr magnetons per cell: 0.000


This record from the Alexandria database describes crystalline TmTiInHg at its relaxed geometry. The functional is PBE-GGA.

Cell: 5.0217 5.0217 5.0217 Å, 60.00 60.00 60.00°
Last column: nearest neighbours and their distance in Å.
Fractional coordinates of all 4 atoms:
Hg: 0.5000 0.5000 0.5000  4 Ti 3.08, 4 Tm 3.08
Ti: 0.2500 0.2500 0.2500  4 In 3.08, 4 Hg 3.08
Tm: 0.7500 0.7500 0.7500  4 Hg 3.08, 4 In 3.08
In: 0.0000 0.0000 0.0000  4 Tm 3.08, 4 Ti 3.08

V, Å³/atom: 22.39
Electronic total energy, eV/atom: -4.027
Space group: F-43m, No. 216
Total moment, Bohr magnetons per cell: 1.793


This record from the Alexandria database describes crystalline TiZnIn2Hg at its relaxed geometry. The functional is PBE-GGA.

Cell: 5.0820 4.9534 5.0820 Å, 90.00 90.00 90.00°
Last column: nearest neighbours and their distance in Å.
Fractional coordinates of all 5 atoms:
In: 0.5000 0.0000 0.0000  2 Zn 2.54
Zn: 0.0000 0.0000 0.0000  2 Hg 2.48, 4 In 2.54
In: 0.0000 0.0000 0.5000  2 Zn 2.54
Ti: 0.5000 0.5000 0.5000  8 In 3.55, 4 Hg 3.59
Hg: 0.0000 0.5000 0.0000  2 Zn 2.48

V, Å³/atom: 25.59
Electronic total energy, eV/atom: -2.299
Space group: P4/mmm, No. 123
Total moment, Bohr magnetons per cell: 0.002


This record from the Alexandria database describes crystalline TiZnInHg at its relaxed geometry. The functional is PBE-GGA.

Cell: 4.1687 4.2993 4.1951 Å, 90.00 90.00 90.00°
Last column: nearest neighbours and their distance in Å.
Fractional coordinates of all 4 atoms:
In: 0.5000 0.5000 0.0000  4 Ti 2.96, 4 Zn 2.99, 4 Hg 3.00
Hg: 0.5000 0.0000 0.5000  4 Zn 2.96, 4 Ti 2.99, 4 In 3.00
Ti: 0.0000 0.5000 0.5000  4 In 2.96, 4 Hg 2.99, 4 Zn 3.00
Zn: 0.0000 0.0000 0.0000  4 Hg 2.96, 4 In 2.99, 4 Ti 3.00

V, Å³/atom: 18.80
Electronic total energy, eV/atom: -3.116
Space group: Pmmm, No. 47
Total moment, Bohr magnetons per cell: 0.000


Let's list ΔE_f in order: 356; -16; 70; 787; 7; 149; 16; 26; 140; 212; 253; 180; -79; 350; 81; 82; 1079; -175; 691; -64 meV per atom.